# Na2ZrAu

Na2ZrAu after structural relaxation (PBE, Alexandria via LeMat-Bulk).

Properties
Energy of formation from the pure elements   43 kJ per mole of atoms
E_tot   -3.170 eV per atom
Total magnetization   1.331 μB/f.u.
Excess energy over the best structure of this formula in the dataset   0.00 eV/f.u.

Geometry as extended XYZ:
```
8
Lattice="-6.751 4.591 2.758 -3.500 -0.423 -7.864 -6.444 -0.284 -1.839" Properties=species:S:1:pos:R:3 pbc="T T T"
Na -8.510 1.370 -2.918
Na -4.320 0.019 -5.162
Na -6.591 2.965 0.413
Na -13.970 3.414 -6.223
Au -9.161 3.196 -0.817
Au 0.000 0.000 0.000
Zr -5.126 2.084 -2.553
Zr -7.535 0.689 -6.128
```